[1]
Density functional theory data (GGA-PBEsol) for PrScO3 after structural relaxation.

Geometry as CIF:
```
data_PrScO3
_chemical_formula_sum 'Pr4 Sc4 O12'
_symmetry_space_group_name_H-M 'P n m a'
_symmetry_Int_Tables_number 62
_symmetry_space_group_name_Hall '-P 2ac 2n'
_cell_length_a 5.7868
_cell_length_b 8.0046
_cell_length_c 5.5815
_cell_angle_alpha 90.00
_cell_angle_beta 90.00
_cell_angle_gamma 90.00
loop_
_atom_site_label
_atom_site_type_symbol
_atom_site_fract_x
_atom_site_fract_y
_atom_site_fract_z
Pr1 Pr 0.0553 0.2500 0.0151
Sc1 Sc 0.0000 0.0000 0.5000
O1 O 0.0381 0.7500 0.3941
O2 O 0.2014 0.5562 0.7993
```

Calculated values
Uncorrected formation energy = -3.5151 eV per atom
D(E_F) = 0.00 states/eV/cell

[2]
Density functional theory data (GGA-PBEsol) for Ag2PO after structural relaxation.

Geometry as CIF:
```
data_Ag2PO
_chemical_formula_sum 'Ag8 P4 O4'
_symmetry_space_group_name_H-M 'F m -3 m'
_symmetry_Int_Tables_number 225
_symmetry_space_group_name_Hall '-F 4 2 3'
_cell_length_a 6.0323
_cell_length_b 6.0323
_cell_length_c 6.0323
_cell_angle_alpha 90.00
_cell_angle_beta 90.00
_cell_angle_gamma 90.00
loop_
_atom_site_label
_atom_site_type_symbol
_atom_site_fract_x
_atom_site_fract_y
_atom_site_fract_z
Ag1 Ag 0.2500 0.2500 0.2500
P1 P 0.0000 0.0000 0.0000
O1 O 0.0000 0.0000 0.5000
```

Calculated values
Uncorrected formation energy = 0.3829 eV per atom
D(E_F) = 12.42 states/eV/cell

[3]
Density functional theory data (GGA-PBEsol) for LiY2Ag after structural relaxation.

Geometry as CIF:
```
data_LiY2Ag
_chemical_formula_sum 'Li2 Y4 Ag2'
_symmetry_space_group_name_H-M 'A m m 2'
_symmetry_Int_Tables_number 38
_symmetry_space_group_name_Hall 'A 2 -2'
_cell_length_a 4.7587
_cell_length_b 3.5031
_cell_length_c 11.3533
_cell_angle_alpha 90.00
_cell_angle_beta 90.00
_cell_angle_gamma 90.00
loop_
_atom_site_label
_atom_site_type_symbol
_atom_site_fract_x
_atom_site_fract_y
_atom_site_fract_z
Li1 Li 0.0000 0.0000 0.0000
Y1 Y 0.0000 0.0000 0.7231
Y2 Y 0.5000 0.0000 0.4126
Ag1 Ag 0.5000 0.0000 0.1361
```

Calculated values
D(E_F) = 6.73 states/eV/cell
Distance to the lowest polymorph of the same formula = 0.0382 eV/atom
Calculated formation energy = -0.0773 eV/atom